# FeIrO2 GGA+U optimized geometry
# Spin magnetization in μB per formula unit: 1.419
# Energy in eV per atom: -6.4864
# DOS(E_F) in states/eV/cell: 10.5
# V in Å³ per atom: 10.25
data_FeIrO2
_cell_length_a 2.7812
_cell_length_b 2.7812
_cell_length_c 18.3546
_cell_angle_alpha 90.00
_cell_angle_beta 90.00
_cell_angle_gamma 120.00
_symmetry_space_group_name_H-M 'R -3 m'
_symmetry_Int_Tables_number 166
_symmetry_space_group_name_Hall '-R 3 2"'
loop_
_atom_site_label
_atom_site_type_symbol
_atom_site_fract_x
_atom_site_fract_y
_atom_site_fract_z
Fe1 Fe 0.0000 0.0000 0.0000
Ir1 Ir 0.0000 0.0000 0.5000
O1 O 0.0000 0.0000 0.3921